# 1
A geometry-optimized SbH2PtS structure. Source: Alexandria, functional PBE.

abc: 3.859 4.427 6.052
angles: 71.63 88.41 64.32
Positions (direct):
1 Sb 0.077 0.075 0.109
2 H 0.985 0.914 0.675
3 H 0.621 0.861 0.449
4 Pt 0.791 0.622 0.285
5 S 0.136 0.145 0.656

Results
**Energy**: -21.4 eV per cell

# 2
A geometry-optimized UInTc structure. Source: Alexandria, functional PBE.

abc: 3.068 5.114 8.967
angles: 82.43 106.11 109.47
Last column: magnetic moment on the atom in μB.
Positions (direct):
1 U 0.952 0.792 0.664  1.12
2 U 0.048 0.208 0.336  1.12
3 In 0.659 0.261 0.914  -0.02
4 In 0.341 0.739 0.086  -0.02
5 Tc 0.052 0.706 0.369  -0.26
6 Tc 0.948 0.294 0.631  -0.26

Results
**ΔE_f**: 0.012 eV/atom

# 3
A geometry-optimized RbSbTeSe3 structure. Source: Alexandria, functional PBE.

abc: 4.057 8.947 12.146
angles: 114.39 90.00 90.00
Positions (direct):
1 Rb 0.250 0.256 0.241
2 Rb 0.750 0.744 0.759
3 Sb 0.250 0.715 0.101
4 Sb 0.750 0.285 0.899
5 Te 0.250 0.142 0.555
6 Te 0.750 0.858 0.445
7 Se 0.750 0.910 0.080
8 Se 0.250 0.090 0.920
9 Se 0.250 0.685 0.488
10 Se 0.750 0.315 0.512
11 Se 0.750 0.480 0.128
12 Se 0.250 0.520 0.872

Results
**ΔE_f (raw)**: -0.4065 eV/atom